# 1
Below is crystalline Hf2AgSnP at its relaxed geometry, with properties calculated at the PBE level.

Output
The calculation puts the density of states at the Fermi level at 0.86 states/eV per atom. The formation energy comes out at 1.08 eV per atom. For the calculated total energy, the calculation gives -26.8 eV/cell. For the total magnetization, the calculation gives 0.00 μB/cell.

Cell lengths 5.1780, 5.1780, 4.8486 Å; angles 90.00, 90.00, 90.00 degrees
Element x y z (fractional)
Hf 0.0000 0.5000 0.0000
Hf 0.5000 0.0000 0.0000
Ag 0.0000 0.0000 0.0000
Sn 0.0000 0.0000 0.5000
P 0.5000 0.5000 0.5000

=====

# 2
Below is crystalline Mn2SiSe at its relaxed geometry, with properties calculated at the PBE level.

Output
The calculation puts the distance to the lowest polymorph of the same formula at 267 meV/atom. The calculation puts the density of states at the Fermi level at 0.67 states/eV per atom. For the calculated total energy, the calculation gives -26.6 eV/cell. For the total magnetization, the calculation gives 5.77 μB/cell. The formation energy without anion corrections is 62 kJ/mol of formula units.

Cell lengths 4.9793, 4.9793, 4.9793 Å; angles 136.97, 136.97, 62.48 degrees
Element x y z (fractional)
Mn 0.0000 0.0000 0.0000
Mn 0.7500 0.2500 0.5000
Si 0.5000 0.5000 0.0000
Se 0.2500 0.7500 0.5000

=====

Copy entry 2 word for word.
Below is crystalline Mn2SiSe at its relaxed geometry, with properties calculated at the PBE level.

Output
The calculation puts the distance to the lowest polymorph of the same formula at 267 meV/atom. The calculation puts the density of states at the Fermi level at 0.67 states/eV per atom. For the calculated total energy, the calculation gives -26.6 eV/cell. For the total magnetization, the calculation gives 5.77 μB/cell. The formation energy without anion corrections is 62 kJ/mol of formula units.

Cell lengths 4.9793, 4.9793, 4.9793 Å; angles 136.97, 136.97, 62.48 degrees
Element x y z (fractional)
Mn 0.0000 0.0000 0.0000
Mn 0.7500 0.2500 0.5000
Si 0.5000 0.5000 0.0000
Se 0.2500 0.7500 0.5000

=====

Repeat the second record exactly.
Below is crystalline Mn2SiSe at its relaxed geometry, with properties calculated at the PBE level.

Output
The calculation puts the distance to the lowest polymorph of the same formula at 267 meV/atom. The calculation puts the density of states at the Fermi level at 0.67 states/eV per atom. For the calculated total energy, the calculation gives -26.6 eV/cell. For the total magnetization, the calculation gives 5.77 μB/cell. The formation energy without anion corrections is 62 kJ/mol of formula units.

Cell lengths 4.9793, 4.9793, 4.9793 Å; angles 136.97, 136.97, 62.48 degrees
Element x y z (fractional)
Mn 0.0000 0.0000 0.0000
Mn 0.7500 0.2500 0.5000
Si 0.5000 0.5000 0.0000
Se 0.2500 0.7500 0.5000